15
Lattice="7.880 0.000 0.000 -3.940 6.824 0.000 0.000 0.000 9.650" Properties=species:S:1:pos:R:3 comment="Rb3CdGe2Br9 (PBE, relaxed)" formation_energy_uncorrected_ev_per_atom=-1.0965 space_group="No. 164" energy_ev_per_cell=-44.56 pbc="T T T"
Rb 0.000 0.000 0.000
Rb 0.000 4.550 6.366
Rb 3.940 2.275 3.284
Cd 0.000 0.000 4.825
Ge 0.000 4.550 1.583
Ge 3.940 2.275 8.067
Br -1.970 3.412 0.000
Br 0.000 2.282 3.212
Br -1.964 5.683 3.212
Br 1.976 1.141 6.438
Br 3.940 0.000 0.000
Br 1.970 3.412 0.000
Br 1.964 5.683 3.212
Br 5.904 1.141 6.438
Br 3.940 4.542 6.438